[1]
Tb2PrYS6: optimized geometry, PBE.

a = 7.0231 Å, b = 7.0231 Å, c = 7.4227 Å
α = 61.76°, β = 61.76°, γ = 60.00°
Element x y z (fractional)
Tb1 0.5186 0.5185 0.4444
Y1 0.3158 0.3157 0.0528
S1 0.2218 0.9161 0.2474
S2 0.6146 0.2219 0.2474
Tb2 0.0147 0.0147 0.9559
Pr1 0.8094 0.8094 0.5717
S3 0.3975 0.7195 0.7494
S4 0.7195 0.1335 0.7494
S5 0.9162 0.6146 0.2474
S6 0.1335 0.3976 0.7494

Properties
calculated total energy	-6.571	eV/atom

[2]
TbPr2ZnS5: optimized geometry, PBE.

a = 3.8981 Å, b = 8.7444 Å, c = 12.0637 Å
α = 90.00°, β = 90.00°, γ = 102.88°
Element x y z (fractional)
Zn1 0.5454 0.0908 0.9436
Pr1 0.1314 0.2629 0.3222
S1 0.2919 0.5839 0.6764
S2 0.4928 0.9857 0.7701
Pr2 0.1149 0.2299 0.6848
Tb1 0.1963 0.3925 0.0173
S3 0.9627 0.9254 0.5473
S4 0.5072 0.0143 0.2701
Tb2 0.8037 0.6075 0.5173
S5 0.7081 0.4161 0.1764
S6 0.3551 0.7102 0.0059
Pr3 0.8686 0.7371 0.8222
S7 0.6449 0.2898 0.5059
S8 0.0373 0.0746 0.0473
Pr4 0.8851 0.7701 0.1848
S9 0.6829 0.3657 0.8563
S10 0.3171 0.6343 0.3563
Zn2 0.4546 0.9092 0.4436

Properties
calculated total energy	-5.766	eV/atom

[3]
PrTcS: optimized geometry, PBE.

a = 5.9249 Å, b = 5.9249 Å, c = 5.0279 Å
α = 101.96°, β = 101.96°, γ = 53.40°
Element x y z (fractional)
Pr1 0.8568 0.8568 0.1785
S1 0.6859 0.6859 0.6463
Pr2 0.1432 0.1432 0.8215
Tc1 0.4830 0.4830 0.7595
S2 0.3141 0.3141 0.3537
Tc2 0.5170 0.5170 0.2405

Properties
calculated total energy	-6.992	eV/atom

[4]
PrTeS4: optimized geometry, PBE.

a = 7.0722 Å, b = 6.9772 Å, c = 6.2366 Å
α = 90.00°, β = 97.61°, γ = 90.00°
Element x y z (fractional)
S1 0.3698 0.8497 0.1402
S2 0.2449 0.7787 0.6979
S3 0.8698 0.6503 0.1402
S4 0.7551 0.2213 0.3021
Te1 0.5000 0.0000 0.5000
S5 0.6302 0.1503 0.8598
Pr1 0.5000 0.5000 0.0000
Te2 0.0000 0.5000 0.5000
Pr2 0.0000 0.0000 0.0000
S6 0.1302 0.3497 0.8598
S7 0.7449 0.7213 0.6979
S8 0.2551 0.2787 0.3021

Properties
calculated total energy	-4.666	eV/atom

[5]
Pr2TeS6: optimized geometry, PBE.

a = 6.3869 Å, b = 6.3869 Å, c = 12.5903 Å
α = 90.00°, β = 90.00°, γ = 90.00°
Element x y z (fractional)
Pr1 0.5000 0.5000 0.3338
S1 0.7846 0.2154 0.0000
Te1 0.5000 0.5000 0.0000
S2 0.6864 0.6864 0.1517
S3 0.3136 0.3136 0.8483
Pr2 0.5000 0.5000 0.6662
Pr3 0.0000 0.0000 0.8338
S4 0.6864 0.6864 0.8483
S5 0.7154 0.7154 0.5000
S6 0.3136 0.3136 0.1517
Te2 0.0000 0.0000 0.5000
S7 0.1864 0.8136 0.6517
S8 0.2154 0.7846 0.0000
S9 0.8136 0.1864 0.6517
S10 0.8136 0.1864 0.3483
Pr4 0.0000 0.0000 0.1662
S11 0.2846 0.2846 0.5000
S12 0.1864 0.8136 0.3483

Properties
calculated total energy	-4.945	eV/atom

[6]
Pr3Te3S: optimized geometry, PBE.

a = 7.9415 Å, b = 7.9415 Å, c = 8.0743 Å
α = 92.15°, β = 92.15°, γ = 110.75°
Element x y z (fractional)
Pr1 0.4873 0.1838 0.3009
Pr2 0.1838 0.4873 0.3009
Pr3 0.8162 0.5127 0.6991
Te1 0.7690 0.2310 0.0000
Pr4 0.5127 0.8162 0.6991
Te2 0.8389 0.1611 0.5000
Te3 0.1611 0.8389 0.5000
Pr5 0.0650 0.0650 0.7985
Te4 0.6294 0.6294 0.3602
Te5 0.3706 0.3706 0.6398
S1 0.2328 0.2328 0.0959
Te6 0.2310 0.7690 0.0000
Pr6 0.9350 0.9350 0.2015
S2 0.7672 0.7672 0.9041

Properties
calculated total energy	-5.432	eV/atom

[7]
Pr2TeS5: optimized geometry, PBE.

a = 5.4440 Å, b = 7.4874 Å, c = 13.2858 Å
α = 90.00°, β = 90.00°, γ = 111.32°
Element x y z (fractional)
S1 0.7200 0.4400 0.2500
S2 0.9551 0.9101 0.8864
Te1 0.1628 0.3255 0.2500
S3 0.7018 0.4035 0.9165
Te2 0.8372 0.6745 0.7500
S4 0.2800 0.5600 0.7500
S5 0.9551 0.9101 0.6136
S6 0.2982 0.5965 0.4165
S7 0.7018 0.4035 0.5835
Pr1 0.1574 0.3149 0.5694
Pr2 0.1574 0.3149 0.9306
Pr3 0.8426 0.6851 0.4306
Pr4 0.8426 0.6851 0.0694
S8 0.0449 0.0899 0.3864
S9 0.2982 0.5965 0.0835
S10 0.0449 0.0899 0.1136

Properties
calculated total energy	-5.339	eV/atom

[8]
Pr2TeS: optimized geometry, PBE.

a = 4.2092 Å, b = 4.2092 Å, c = 7.8265 Å
α = 74.40°, β = 74.40°, γ = 60.00°
Element x y z (fractional)
Te1 0.4994 0.4994 0.5018
Pr1 0.2631 0.2631 0.2107
Pr2 0.0695 0.0695 0.7916
S1 0.6680 0.6680 0.9959

Properties
E above lowest polymorph	0.00	kcal/mol of atoms
calculated total energy	-5.958	eV/atom